First-principles (PBE) data for an optimized crystal structure of RbNdSm2, as listed in Alexandria via LeMat-Bulk.

Cell: 3.7011 3.7011 40.6352 Å, 90.00 90.00 120.00°
Closest atoms and distances in Å follow each position.
Space group R-3m (No. 166, hexagonal axes)
Inequivalent atoms, fractional coordinates:
1 Rb 0.0000 0.0000 0.0000 [3 per cell]  6 Rb 3.70, 2 Sm 3.87
2 Nd 0.0000 0.0000 0.5000 [3 per cell]  6 Sm 3.61, 6 Nd 3.70
3 Sm 0.0000 0.0000 0.0952 [6 per cell]  3 Nd 3.61, 6 Sm 3.70, 1 Rb 3.87

Properties
raw total energy: -3.526 eV/atom
spin magnetization: 0.000 μB per formula unit

First-principles (PBE) data for an optimized crystal structure of RbNd2Sm, as listed in Alexandria via LeMat-Bulk.

Cell: 3.7194 3.7194 40.8168 Å, 90.00 90.00 120.00°
Closest atoms and distances in Å follow each position.
Space group R-3m (No. 166, hexagonal axes)
Inequivalent atoms, fractional coordinates:
1 Rb 0.0000 0.0000 0.0000 [3 per cell]  6 Rb 3.72, 2 Nd 3.90
2 Nd 0.0000 0.0000 0.0957 [6 per cell]  3 Sm 3.61, 6 Nd 3.72, 1 Rb 3.90
3 Sm 0.0000 0.0000 0.5000 [3 per cell]  6 Nd 3.61, 6 Sm 3.72

Properties
raw total energy: -3.562 eV/atom
spin magnetization: 0.000 μB per formula unit

First-principles (PBE) data for an optimized crystal structure of Rb3NdSm2Te6, as listed in Alexandria via LeMat-Bulk.

Cell: 8.0007 13.8578 8.9750 Å, 90.00 107.29 90.00°
Closest atoms and distances in Å follow each position.
Space group C2/m (No. 12)
Inequivalent atoms, fractional coordinates:
1 Rb 0.0000 0.0000 0.0000 [2 per cell]  6 Te 3.67-3.69
2 Rb 0.0000 0.3339 0.0000 [4 per cell]  6 Te 3.67-3.69
3 Nd 0.0000 0.5000 0.5000 [2 per cell]  6 Te 3.21
4 Sm 0.0000 0.1667 0.5000 [4 per cell]  6 Te 3.18
5 Te 0.2318 0.0000 0.7036 [4 per cell]  2 Sm 3.18, 1 Nd 3.21
6 Te 0.2360 0.3320 0.7037 [8 per cell]  2 Sm 3.18, 1 Nd 3.21

Properties
ΔE_f (raw): -1.40 eV per atom
spin magnetization: 0.000 μB per formula unit

First-principles (PBE) data for an optimized crystal structure of RbNd3Sm2Te6, as listed in Alexandria via LeMat-Bulk.

Cell: 19.8777 4.4978 9.2760 Å, 90.00 103.57 90.00°
Closest atoms and distances in Å follow each position.
Space group C2/m (No. 12)
Inequivalent atoms, fractional coordinates:
1 Rb 0.0000 0.0000 0.0000 [2 per cell]  6 Te 3.33-3.39
2 Nd 0.0000 0.0000 0.5000 [2 per cell]  6 Te 3.13-3.22
3 Nd 0.1599 0.5000 0.8182 [4 per cell]  6 Te 3.17-3.33
4 Sm 0.1691 0.5000 0.3439 [4 per cell]  6 Te 3.15-3.29
5 Te 0.0053 0.5000 0.2678 [4 per cell]  3 Nd 3.13-3.19, 1 Sm 3.17, 2 Rb 3.33
6 Te 0.1666 0.0000 0.5804 [4 per cell]  3 Sm 3.15-3.18, 3 Nd 3.17-3.22
7 Te 0.1756 0.0000 0.0892 [4 per cell]  3 Nd 3.18-3.33, 2 Sm 3.29, 1 Rb 3.39

Properties
ΔE_f (raw): -1.36 eV per atom
spin magnetization: 0.000 μB per formula unit

First-principles (PBE) data for an optimized crystal structure of Rb4NdSm3Te8, as listed in Alexandria via LeMat-Bulk.

Cell: 9.2312 9.2312 25.7093 Å, 90.00 90.00 120.00°
Closest atoms and distances in Å follow each position.
Space group R-3m (No. 166, hexagonal axes)
Inequivalent atoms, fractional coordinates:
1 Rb 0.0000 0.0000 0.0000 [3 per cell]  6 Te 3.67
2 Rb 0.0000 0.5000 0.0000 [9 per cell]  6 Te 3.69
3 Nd 0.0000 0.0000 0.5000 [3 per cell]  6 Te 3.20
4 Sm 0.0000 0.5000 0.5000 [9 per cell]  6 Te 3.18
5 Te 0.0000 0.0000 0.2342 [6 per cell]  3 Sm 3.18
6 Te 0.0024 0.5012 0.7654 [18 per cell]  2 Sm 3.18, 1 Nd 3.20

Properties
ΔE_f (raw): -1.40 eV per atom
spin magnetization: 0.000 μB per formula unit

First-principles (PBE) data for an optimized crystal structure of RbNd2Sm3Te6, as listed in Alexandria via LeMat-Bulk.

Cell: 19.9029 4.4769 9.2807 Å, 90.00 104.07 90.00°
Closest atoms and distances in Å follow each position.
Space group C2/m (No. 12)
Inequivalent atoms, fractional coordinates:
1 Rb 0.0000 0.0000 0.0000 [2 per cell]  6 Te 3.35-3.39
2 Nd 0.1714 0.5000 0.3468 [4 per cell]  6 Te 3.18-3.33
3 Sm 0.0000 0.0000 0.5000 [2 per cell]  6 Te 3.10-3.16
4 Sm 0.1621 0.5000 0.8207 [4 per cell]  6 Te 3.13-3.28
5 Te 0.0027 0.5000 0.2701 [4 per cell]  3 Sm 3.10-3.18, 1 Nd 3.26, 2 Rb 3.35
6 Te 0.1639 0.0000 0.5859 [4 per cell]  3 Sm 3.13-3.16, 3 Nd 3.18-3.19
7 Te 0.1755 0.0000 0.0840 [4 per cell]  3 Sm 3.14-3.28, 2 Nd 3.33, 1 Rb 3.39

Properties
ΔE_f (raw): -1.36 eV per atom
spin magnetization: 0.000 μB per formula unit

First-principles (PBE) data for an optimized crystal structure of RbNdSn2, as listed in Alexandria via LeMat-Bulk.

Cell: 4.2333 4.2333 8.1482 Å, 90.00 90.00 90.00°
Closest atoms and distances in Å follow each position.
Space group P4/mmm (No. 123)
Inequivalent atoms, fractional coordinates:
1 Rb 0.0000 0.0000 0.0000 [1 per cell]  8 Sn 3.98, 2 Nd 4.07, 4 Rb 4.23
2 Nd 0.0000 0.0000 0.5000 [1 per cell]  8 Sn 3.33
3 Sn 0.5000 0.5000 0.3211 [2 per cell]  1 Sn 2.92

Properties
raw total energy: -3.860 eV/atom
spin magnetization: 0.000 μB per formula unit

First-principles (PBE) data for an optimized crystal structure of RbNdSn4, as listed in Alexandria via LeMat-Bulk.

Cell: 9.0077 9.0077 9.0077 Å, 90.00 90.00 90.00°
Closest atoms and distances in Å follow each position.
Space group F-43m (No. 216)
Inequivalent atoms, fractional coordinates:
1 Rb 0.0000 0.0000 0.0000 [4 per cell]  12 Sn 3.74, 4 Nd 3.90
2 Nd 0.2500 0.2500 0.7500 [4 per cell]  12 Sn 3.73, 4 Rb 3.90
3 Sn 0.1238 0.1238 0.3762 [16 per cell]  6 Sn 3.15-3.21

Properties
raw total energy: -3.883 eV/atom
spin magnetization: 0.000 μB per formula unit